Record 1
Here is CoAs2CSe after structural relaxation from Alexandria via LeMat-Bulk. Energies are from GGA-PBE.

Output
E_form (uncorrected): 1.250 eV per atom
E above lowest polymorph: 0 meV/atom

Unit cell a=4.2325 b=4.2325 c=4.3578 alpha=90.00 beta=90.00 gamma=90.00
Closest atoms and distances in Å follow each position.
Space group P4/mmm (No. 123)
Symmetry-distinct sites (fractional):
Co1 0.0000 0.0000 0.0000 (multiplicity 1)  4 Se 2.99, 8 As 3.04
As1 0.0000 0.5000 0.5000 (multiplicity 2)  2 C 2.12
C1 0.5000 0.5000 0.5000 (multiplicity 1)  4 As 2.12, 2 Se 2.18
Se1 0.5000 0.5000 0.0000 (multiplicity 1)  2 C 2.18


Record 2
Here is ThCdInGe after structural relaxation from Alexandria via LeMat-Bulk. Energies are from GGA-PBE.

Output
Formation energy from the elements: -0.99 eV/f.u.

Unit cell a=4.4851 b=4.4851 c=9.9794 alpha=90.00 beta=90.00 gamma=90.00
Closest atoms and distances in Å follow each position.
Space group P4/nmm (No. 129, origin choice 2)
Symmetry-distinct sites (fractional):
Th1 0.2500 0.2500 0.2144 (multiplicity 2)  4 Ge 3.10, 4 In 3.27
Cd1 0.2500 0.7500 0.5000 (multiplicity 2)  4 In 3.04, 4 Cd 3.17
In1 0.2500 0.2500 0.7052 (multiplicity 2)  4 Cd 3.04, 4 Th 3.27
Ge1 0.2500 0.7500 0.0000 (multiplicity 2)  4 Th 3.10, 4 Ge 3.17


Record 3
Here is BaNaAuO2 after structural relaxation from Alexandria via LeMat-Bulk. Energies are from GGA-PBE.

Output
E_form (uncorrected): -1.478 eV per atom

Unit cell a=6.1918 b=4.5135 c=6.9258 alpha=90.00 beta=101.31 gamma=90.00
Closest atoms and distances in Å follow each position.
Space group P2/c (No. 13)
Symmetry-distinct sites (fractional):
Ba1 0.0000 0.2352 0.2500 (multiplicity 2)  6 O 2.75-2.96
Na1 0.5000 0.4837 0.7500 (multiplicity 2)  4 O 2.53-2.59, 2 Au 2.79
Au1 0.5000 0.0000 0.0000 (multiplicity 2)  2 O 2.05
O1 0.2346 0.2821 0.9531 (multiplicity 4)  1 Au 2.05


Record 4
Here is NaSr3Tm2Se6 after structural relaxation from Alexandria via LeMat-Bulk. Energies are from GGA-PBE.

Output
E_form (uncorrected): -1.848 eV per atom

Unit cell a=7.3674 b=12.7509 c=7.3929 alpha=90.00 beta=109.37 gamma=90.00
Closest atoms and distances in Å follow each position.
Space group C2/m (No. 12)
Symmetry-distinct sites (fractional):
Na1 0.0000 0.0000 0.0000 (multiplicity 2)  6 Se 2.99-3.01
Sr1 0.0000 0.1624 0.5000 (multiplicity 4)  6 Se 3.06-3.14
Sr2 0.0000 0.5000 0.5000 (multiplicity 2)  6 Se 3.05-3.13
Tm1 0.0000 0.3324 0.0000 (multiplicity 4)  6 Se 2.88-2.89
Se1 0.2300 0.5000 0.2252 (multiplicity 4)  2 Tm 2.89, 1 Na 2.99, 3 Sr 3.05-3.11
Se2 0.2495 0.1728 0.2289 (multiplicity 8)  2 Tm 2.88-2.89, 1 Na 3.01, 3 Sr 3.06-3.14


| no. | volume (Å³ per atom) |
| --- | --- |
| 1 | 15.613 |
| 2 | 25.094 |
| 3 | 18.979 |
| 4 | 27.300 |